1.
## Ce2CdGePb (GGA-PBE)

Data for crystalline Ce2CdGePb at its relaxed geometry.

```
data_Ce2CdGePb
_chemical_formula_sum 'Ce4 Cd2 Ge2 Pb2'
_space_group_name_H-M_alt 'P 4/n m m'
_space_group_IT_number 129
_cell_length_a 4.481
_cell_length_b 4.481
_cell_length_c 14.121
_cell_angle_alpha 90.00
_cell_angle_beta 90.00
_cell_angle_gamma 90.00
loop_
_space_group_symop_operation_xyz
'x,y,z'
'-x,-y,-z'
'-y+1/2,x,z'
'y+1/2,-x,-z'
'-x+1/2,-y+1/2,z'
'x+1/2,y+1/2,-z'
'y,-x+1/2,z'
'-y,x+1/2,-z'
'x+1/2,-y,-z'
'-x+1/2,y,z'
'-y,-x,-z'
'y,x,z'
'-x,y+1/2,-z'
'x,-y+1/2,z'
'y+1/2,x+1/2,-z'
'-y+1/2,-x+1/2,z'
loop_
_atom_site_label
_atom_site_type_symbol
_atom_site_fract_x
_atom_site_fract_y
_atom_site_fract_z
Ce1 Ce 0.250 0.250 0.103
Ce2 Ce 0.250 0.250 0.690
Cd1 Cd 0.250 0.750 0.500
Ge1 Ge 0.250 0.250 0.893
Pb1 Pb 0.250 0.250 0.345
```

Computed properties:
* density: 7.88 g/cm3
* size of the total moment: 1.7 μB/f.u.
* formation enthalpy at 0 K: -0.38 eV/atom
* Fermi-level density of states: 23.6 states/eV per cell

=====

2.
## Ho5Tm (GGA-PBE)

Data for crystalline Ho5Tm at its relaxed geometry.

```
data_Ho5Tm
_chemical_formula_sum 'Ho10 Tm2'
_space_group_name_H-M_alt 'C m m m'
_space_group_IT_number 65
_space_group_name_Hall '-C 2 2'
_cell_length_a 4.962
_cell_length_b 14.896
_cell_length_c 4.959
_cell_angle_alpha 90.00
_cell_angle_beta 90.00
_cell_angle_gamma 90.00
loop_
_atom_site_label
_atom_site_type_symbol
_atom_site_fract_x
_atom_site_fract_y
_atom_site_fract_z
Ho1 Ho 0.000 0.000 0.000
Ho2 Ho 0.000 0.166 0.500
Ho3 Ho 0.000 0.333 0.000
Tm1 Tm 0.000 0.500 0.500
```

Computed properties:
* density: 9.00 g/cm3
* size of the total moment: 0.0 μB/f.u.
* formation enthalpy at 0 K: 0.02 eV/atom
* Fermi-level density of states: 15.5 states/eV per cell